# 1
First-principles (GGA-PBE) data for a relaxed structure of La3Pr2Dy3, as listed in the Alexandria database.

POSCAR file:
```
La3Pr2Dy3
1.0
8.265 -2.970 0.000
8.265 2.970 0.000
-2.235 0.000 5.716
La Pr Dy
3 2 3
Direct
0.000 0.000 0.000
0.135 0.135 0.694
0.865 0.865 0.306
0.251 0.251 0.317
0.749 0.749 0.683
0.372 0.372 0.918
0.500 0.500 0.500
0.628 0.628 0.082
```

Values from the calculation:
- SG = C2/m (12)
- relative energy among the computed polymorphs (eV per atom) = 0.067
- crystal system = monoclinic

# 2
First-principles (GGA-PBE) data for a relaxed structure of La2PrDy6, as listed in the Alexandria database.

POSCAR file:
```
La2PrDy6
1.0
-1.761 5.204 8.243
1.761 -5.204 8.243
1.761 5.204 -8.243
La Pr Dy
2 1 6
Direct
0.157 0.157 0.000
0.843 0.843 0.000
0.500 0.000 0.500
0.156 0.823 0.333
0.188 0.500 0.688
0.489 0.823 0.667
0.511 0.177 0.333
0.812 0.500 0.312
0.844 0.177 0.667
```

Values from the calculation:
- SG = Immm (71)
- relative energy among the computed polymorphs (eV per atom) = 0.000
- crystal system = orthorhombic

# 3
First-principles (GGA-PBE) data for a relaxed structure of LaPr2Dy8, as listed in the Alexandria database.

POSCAR file:
```
LaPr2Dy8
1.0
4.546 -8.085 0.000
4.546 8.085 0.000
-3.194 0.000 5.027
La Pr Dy
1 2 8
Direct
0.000 0.000 0.000
0.305 0.695 0.500
0.695 0.305 0.500
0.099 0.331 0.673
0.210 0.790 0.000
0.331 0.099 0.673
0.428 0.428 0.206
0.572 0.572 0.794
0.669 0.901 0.327
0.790 0.210 0.000
0.901 0.669 0.327
```

Values from the calculation:
- SG = C2/m (12)
- relative energy among the computed polymorphs (eV per atom) = 0.000
- crystal system = monoclinic

# 4
First-principles (GGA-PBE) data for a relaxed structure of La5Pr2Dy2, as listed in the Alexandria database.

POSCAR file:
```
La5Pr2Dy2
1.0
3.074 -3.071 0.000
3.074 3.071 0.000
-3.048 0.000 16.956
La Pr Dy
5 2 2
Direct
0.000 0.000 0.000
0.220 0.220 0.438
0.446 0.446 0.893
0.554 0.554 0.107
0.780 0.780 0.562
0.114 0.114 0.226
0.886 0.886 0.774
0.333 0.333 0.668
0.667 0.667 0.332
```

Values from the calculation:
- SG = C2/m (12)
- relative energy among the computed polymorphs (eV per atom) = 0.000
- crystal system = monoclinic

# 5
First-principles (GGA-PBE) data for a relaxed structure of La2Pr8Dy3, as listed in the Alexandria database.

POSCAR file:
```
La2Pr8Dy3
1.0
10.564 -3.882 0.000
10.564 3.882 0.000
-0.004 0.000 5.764
La Pr Dy
2 8 3
Direct
0.241 0.241 0.498
0.759 0.759 0.502
0.129 0.129 0.999
0.193 0.602 0.500
0.332 0.332 0.999
0.398 0.807 0.500
0.602 0.193 0.500
0.668 0.668 0.001
0.807 0.398 0.500
0.871 0.871 0.001
0.000 0.000 0.500
0.284 0.716 0.000
0.716 0.284 0.000
```

Values from the calculation:
- SG = C2/m (12)
- relative energy among the computed polymorphs (eV per atom) = 0.039
- crystal system = monoclinic

# 6
First-principles (GGA-PBE) data for a relaxed structure of LaPr12Dy5, as listed in the Alexandria database.

POSCAR file:
```
LaPr12Dy5
1.0
7.780 -7.795 0.000
7.780 7.795 0.000
0.000 0.000 5.200
La Pr Dy
1 12 5
Direct
0.000 0.000 0.000
0.002 0.667 0.000
0.167 0.167 0.500
0.170 0.502 0.500
0.333 0.998 0.000
0.336 0.336 0.000
0.498 0.830 0.500
0.502 0.170 0.500
0.664 0.664 0.000
0.667 0.002 0.000
0.830 0.498 0.500
0.833 0.833 0.500
0.998 0.333 0.000
0.168 0.832 0.500
0.333 0.667 0.000
0.500 0.500 0.500
0.667 0.333 0.000
0.832 0.168 0.500
```

Values from the calculation:
- SG = Cmmm (65)
- crystal system = orthorhombic

# 7
First-principles (GGA-PBE) data for a relaxed structure of LaPr3Dy4, as listed in the Alexandria database.

POSCAR file:
```
LaPr3Dy4
1.0
-1.736 5.893 6.672
1.736 -5.893 6.672
1.736 5.893 -6.672
La Pr Dy
1 3 4
Direct
0.000 0.000 0.000
0.242 0.742 0.500
0.500 0.500 0.000
0.758 0.258 0.500
0.116 0.865 0.251
0.386 0.135 0.251
0.614 0.865 0.749
0.884 0.135 0.749
```

Values from the calculation:
- SG = Immm (71)
- relative energy among the computed polymorphs (eV per atom) = 0.097
- crystal system = orthorhombic

# 8
First-principles (GGA-PBE) data for a relaxed structure of La2Pr7Dy3, as listed in the Alexandria database.

POSCAR file:
```
La2Pr7Dy3
1.0
6.575 0.000 0.000
0.000 3.615 0.000
-1.789 0.000 17.835
La Pr Dy
2 7 3
Direct
0.059 0.000 0.169
0.941 0.000 0.831
0.000 0.500 0.500
0.230 0.000 0.669
0.258 0.000 0.995
0.279 0.500 0.336
0.721 0.500 0.664
0.742 0.000 0.005
0.770 0.000 0.331
0.456 0.500 0.841
0.500 0.000 0.500
0.544 0.500 0.159
```

Values from the calculation:
- SG = P2/m (10)
- relative energy among the computed polymorphs (eV per atom) = 0.000
- crystal system = monoclinic

E_form, record by record: 0.09 0.11 0.15 0.10 0.19 0.02 0.13 0.06 eV per atom
Fermi-level density of states, record by record: 12.75 15.28 16.62 18.68 19.99 29.50 12.75 19.44 states/eV per cell
Total moment, record by record: 0.0 0.0 0.0 0.0 0.0 0.0 0.0 0.0 μB/cell